An optimized crystal structure of NbGeRuO2. Source: the Alexandria database, functional GGA-PBEsol.

Output
raw total energy = -37.918 eV per cell

```
data_NbGeRuO2
_chemical_formula_sum 'Nb1 Ge1 Ru1 O2'
_cell_length_a 3.651
_cell_length_b 3.651
_cell_length_c 5.808
_cell_angle_alpha 90.00
_cell_angle_beta 90.00
_cell_angle_gamma 90.00
_symmetry_space_group_name_H-M 'P 4/m m m'
_symmetry_Int_Tables_number 123
_symmetry_space_group_name_Hall '-P 4 2'
loop_
_atom_site_label
_atom_site_fract_x
_atom_site_fract_y
_atom_site_fract_z
_atom_site_occupancy
Nb1 0.000 0.000 0.000 1
Ge1 0.500 0.500 0.000 1
Ru1 0.000 0.000 0.500 1
O1 0.000 0.500 0.500 1
```